Ac8Ir3SeBr3 | PBE | relaxed

The crystal system is trigonal. For the raw total energy, the calculation gives -84.8 eV per formula unit.

Cell lengths 8.9752, 8.9746, 9.3237 Å; angles 118.79, 90.00, 120.00 degrees
With the nearest neighbours (Å) after each atom.
Fractional coordinates of all 15 atoms:
Ac: 0.7504 0.5008 0.2895  2 Ir 2.98, 1 Se 3.23
Ac: 0.2667 0.5334 0.3003  3 Ir 3.02
Ac: 0.2882 0.0388 0.2896  2 Ir 2.98, 1 Se 3.23
Ac: 0.2495 0.9612 0.7104  2 Ir 2.98, 1 Se 3.23
Ac: 0.2496 0.4992 0.7105  2 Ir 2.98, 1 Se 3.23
Ac: 0.7333 0.4666 0.6997  3 Ir 3.02
Ac: 0.7505 0.0388 0.2896  2 Ir 2.98, 1 Se 3.23
Ac: 0.7118 0.9612 0.7104  2 Ir 2.98, 1 Se 3.23
Br: 0.0000 0.5000 0.0000  6 Ac 3.48-3.51
Br: 0.0000 0.0000 0.0000  6 Ac 3.48-3.51
Br: 0.5000 0.5000 0.0000  6 Ac 3.48-3.51
Ir: 0.5000 0.5000 0.5000  6 Ac 2.98-3.02
Ir: 0.5000 0.0000 0.5000  6 Ac 2.98-3.02
Ir: 0.0000 0.5000 0.5000  6 Ac 2.98-3.02
Se: 0.0000 0.0000 0.5000  6 Ac 3.23